# 1
Dy4Ag3Os: optimized geometry, PBE.

ΔE_f, eV per atom: -0.3008
D(E_F), states/eV/f.u.: 5.21
Crystal system: tetragonal
SG: P4/mmm, No. 123
Raw total energy, eV/atom: -5.075

```
Dy4Ag3Os
1.0
3.503 0.000 0.000
0.000 3.503 0.000
0.000 0.000 14.893
Dy Ag Os
4 3 1
direct
0.000 0.000 0.111
0.000 0.000 0.372
0.000 0.000 0.628
0.000 0.000 0.889
0.500 0.500 0.246
0.500 0.500 0.500
0.500 0.500 0.754
0.500 0.500 0.000
```



# 2
Dy7Ag2Os2: optimized geometry, PBE.

ΔE_f, eV per atom: -0.1339
D(E_F), states/eV/f.u.: 10.15
Crystal system: orthorhombic
SG: Cmmm, No. 65
Raw total energy, eV/atom: -5.623

```
Dy7Ag2Os2
1.0
4.020 -5.364 0.000
4.020 5.364 0.000
0.000 0.000 7.051
Dy Ag Os
7 2 2
direct
0.000 0.000 0.000
0.000 0.500 0.254
0.000 0.500 0.746
0.500 0.000 0.254
0.500 0.000 0.746
0.500 0.500 0.244
0.500 0.500 0.756
0.178 0.178 0.500
0.822 0.822 0.500
0.291 0.709 0.000
0.709 0.291 0.000
```



# 3
Dy3Ag2Os: optimized geometry, PBE.

ΔE_f, eV per atom: -0.3109
D(E_F), states/eV/f.u.: 3.52
Crystal system: orthorhombic
SG: Cmmm, No. 65
Raw total energy, eV/atom: -5.434

```
Dy3Ag2Os
1.0
2.496 -7.452 0.000
2.496 7.452 0.000
0.000 0.000 7.273
Dy Ag Os
6 4 2
direct
0.000 0.000 0.233
0.000 0.000 0.767
0.327 0.673 0.228
0.327 0.673 0.772
0.673 0.327 0.228
0.673 0.327 0.772
0.165 0.835 0.500
0.500 0.500 0.000
0.500 0.500 0.500
0.835 0.165 0.500
0.164 0.836 0.000
0.836 0.164 0.000
```



# 4
Dy6AgOs2: optimized geometry, PBE.

ΔE_f, eV per atom: -0.2431
D(E_F), states/eV/f.u.: 8.58
Crystal system: orthorhombic
SG: Immm, No. 71
Raw total energy, eV/atom: -6.123

```
Dy6AgOs2
1.0
-4.705 4.718 5.204
4.705 -4.718 5.204
4.705 4.718 -5.204
Dy Ag Os
12 2 4
direct
0.043 0.244 0.799
0.182 0.278 0.461
0.182 0.722 0.904
0.331 0.015 0.684
0.331 0.647 0.316
0.445 0.244 0.201
0.555 0.756 0.799
0.669 0.353 0.684
0.669 0.985 0.316
0.818 0.278 0.096
0.818 0.722 0.539
0.957 0.756 0.201
0.000 0.000 0.000
0.500 0.500 0.000
0.121 0.621 0.500
0.322 0.000 0.322
0.678 0.000 0.678
0.879 0.379 0.500
```